ScSeBr4 (SCAN, single point on PBEsol structure); formation energy (no corrections) = 0.355 eV per atom; electronic total energy = -18.3377 eV per atom
1.0
0.000 4.170 4.170
4.170 0.000 4.170
4.170 4.170 0.000
Sc Se Br
1 1 4
direct
0.000 0.000 0.000 Sc
0.250 0.250 0.250 Se
0.124 0.625 0.625 Br
0.625 0.124 0.625 Br
0.625 0.625 0.124 Br
0.625 0.625 0.625 Br